(1)
Crystalline Li2ZrSb2 at its relaxed geometry, computed with PBE.

Cell lengths 3.7635, 3.7635, 7.6852 Å; angles 104.17, 104.17, 90.00 degrees
Closest atoms and distances in Å follow each position.
Sites, in units of the cell vectors:
Li 0.2500 0.7500 0.5000  4 Li 2.66, 4 Sb 2.76
Sb 0.3896 0.3896 0.7792  4 Li 2.76
Zr 0.0000 0.0000 0.0000  8 Sb 3.10
Sb 0.6104 0.6104 0.2208  4 Li 2.76
Li 0.7500 0.2500 0.5000  4 Li 2.66, 4 Sb 2.76

Values from the calculation:
Final energy   -22.73 eV per cell
Spin magnetization   0.0 Bohr magnetons per cell

(2)
Crystalline PuAsW at its relaxed geometry, computed with PBE.

Cell lengths 4.4882, 4.4882, 4.4882 Å; angles 60.00, 60.00, 60.00 degrees
Closest atoms and distances in Å follow each position.
Sites, in units of the cell vectors:
Pu 0.2500 0.2500 0.2500  4 W 2.75, 4 As 2.75
As 0.5000 0.5000 0.5000  4 Pu 2.75
W 0.0000 0.0000 0.0000  4 Pu 2.75

Values from the calculation:
Final energy   -28.85 eV per cell
Relative energy among the computed polymorphs   638 meV per atom
Spin magnetization   3.4 Bohr magnetons per cell